Entry 1:
This record from Alexandria describes crystalline BaLiCoN2 at its relaxed geometry. The functional is GGA-PBE.

Cell and atoms, written as extended XYZ:
```
10
Lattice="3.460 0.000 0.000 -1.730 5.334 -0.004 0.000 -1.313 7.414" Properties=species:S:1:pos:R:3 pbc="T T T"
N 1.730 0.767 1.977
N 0.000 3.254 5.433
N 0.000 0.035 6.915
N 1.730 3.986 0.495
Li 1.730 1.875 0.352
Li 0.000 2.147 7.058
Ba 1.730 0.705 4.858
Ba 0.000 3.317 2.552
Co 0.000 0.393 1.205
Co 1.730 3.628 6.205
```

Values from the calculation:
* energy relative to the elements, uncorrected: -0.192 eV/atom
* total energy: -5.710 eV per atom
* density of states at the Fermi level: 6.573 states/eV per cell
* mass density: 5.6 g cm⁻³
* symmetry: C2/m, No. 12

***

Entry 2:
This record from Alexandria describes crystalline BaLiCo2N at its relaxed geometry. The functional is GGA-PBE.

Cell and atoms, written as extended XYZ:
```
5
Lattice="4.880 0.000 0.000 0.000 4.880 0.000 0.000 0.000 6.424" Properties=species:S:1:pos:R:3 pbc="T T T"
Ba 0.000 0.000 0.000
Co 2.440 0.000 0.000
Co 0.000 2.440 0.000
N 2.440 2.440 3.212
Li 0.000 0.000 3.212
```

Values from the calculation:
* energy relative to the elements, uncorrected: 2.592 eV/atom
* total energy: -2.683 eV per atom
* density of states at the Fermi level: 5.441 states/eV per cell
* mass density: 3.0 g cm⁻³
* symmetry: P4/mmm, No. 123

***

Entry 3:
This record from Alexandria describes crystalline BaLiCoN2 at its relaxed geometry. The functional is GGA-PBE.

Cell and atoms, written as extended XYZ:
```
5
Lattice="3.978 0.000 0.000 0.000 5.084 0.000 0.000 0.000 3.978" Properties=species:S:1:pos:R:3 pbc="T T T"
Ba 0.000 2.542 0.000
Co 0.000 0.000 0.000
N 0.000 0.000 1.989
N 1.989 0.000 0.000
Li 1.989 2.542 1.989
```

Values from the calculation:
* energy relative to the elements, uncorrected: 1.093 eV/atom
* total energy: -4.426 eV per atom
* density of states at the Fermi level: 2.902 states/eV per cell
* mass density: 4.8 g cm⁻³
* symmetry: P4/mmm, No. 123

***

| no. | magnetization (μB/atom) |
| --- | --- |
| 1 | 0.000 |
| 2 | 0.729 |
| 3 | 0.496 |